Entry from the Alexandria database: a relaxed Nb2TcSn crystal (GGA-PBE).

abc: 7.6074 7.6074 5.5368
angles: 90.00 90.00 90.00
Last column: nearest neighbours and their distance in Å.
Space group I-42d (No. 122)
Inequivalent atoms, fractional coordinates:
Nb: 0.1980 0.2500 0.1250 [8 per cell]  2 Tc 2.52
Tc: 0.0000 0.0000 0.0000 [4 per cell]  4 Nb 2.52, 2 Sn 2.77
Sn: 0.0000 0.0000 0.5000 [4 per cell]  2 Tc 2.77, 4 Nb 3.06

Output
calculated formation energy	0.3818	eV per atom
size of the total moment	0.0	Bohr magnetons per cell
calculated volume	320.4	Å³/cell

***

Entry from the Alexandria database: a relaxed NbTc3Sn crystal (GGA-PBE).

abc: 4.7611 4.7611 4.7611
angles: 90.00 90.00 90.00
Last column: nearest neighbours and their distance in Å.
Space group Pm-3m (No. 221)
Inequivalent atoms, fractional coordinates:
Nb: 0.0000 0.0000 0.0000 [1 per cell]  6 Tc 2.38
Tc: 0.0000 0.0000 0.5000 [3 per cell]  2 Nb 2.38
Sn: 0.5000 0.5000 0.5000 [1 per cell]  12 Tc 3.37

Output
calculated formation energy	1.5445	eV per atom
size of the total moment	2.8	Bohr magnetons per cell
ΔE to the lowest computed polymorph	0	meV per atom
calculated volume	107.9	Å³/cell

***

Entry from the Alexandria database: a relaxed Nb3TcSn crystal (GGA-PBE).

abc: 4.9847 4.9847 4.9847
angles: 90.00 90.00 90.00
Last column: nearest neighbours and their distance in Å.
Space group Pm-3m (No. 221)
Inequivalent atoms, fractional coordinates:
Nb: 0.0000 0.0000 0.5000 [3 per cell]  2 Sn 2.49
Tc: 0.5000 0.5000 0.5000 [1 per cell]  12 Nb 3.52
Sn: 0.0000 0.0000 0.0000 [1 per cell]  6 Nb 2.49

Output
calculated formation energy	2.0544	eV per atom
size of the total moment	1.6	Bohr magnetons per cell
ΔE to the lowest computed polymorph	1247	meV per atom
calculated volume	123.9	Å³/cell